This record from Alexandria via LeMat-Bulk describes crystalline TlGaHg3 at its relaxed geometry. The functional is GGA-PBE.

Cell lengths 5.7577, 5.7577, 5.7577 Å; angles 90.00, 90.00, 90.00 degrees
Sites, in units of the cell vectors:
Hg: 0.5000 0.0000 0.0000
Hg: 0.0000 0.0000 0.5000
Hg: 0.0000 0.5000 0.0000
Ga: 0.5000 0.5000 0.5000
Tl: 0.0000 0.0000 0.0000

Output
The crystal system is cubic. The calculation puts the total magnetic moment at 0.000 Bohr magnetons per cell. The final energy is -0.861 eV per atom. Its formation energy from the elements is 0.40 eV per atom.


This record from Alexandria via LeMat-Bulk describes crystalline AlHgPd4 at its relaxed geometry. The functional is GGA-PBE.

Cell lengths 2.9386, 7.4176, 17.7842 Å; angles 90.00, 90.00, 90.00 degrees
Sites, in units of the cell vectors:
Al: 0.2500 0.7490 0.5495
Pd: 0.7500 0.8538 0.6565
Hg: 0.7500 0.7208 0.8122
Hg: 0.2500 0.7792 0.3122
Pd: 0.2500 0.0316 0.0668
Hg: 0.7500 0.2208 0.6878
Pd: 0.2500 0.1076 0.5542
Al: 0.2500 0.2490 0.9505
Pd: 0.2500 0.6076 0.9458
Pd: 0.7500 0.3538 0.8435
Al: 0.7500 0.2510 0.4505
Pd: 0.7500 0.4684 0.5668
Pd: 0.7500 0.9684 0.9332
Hg: 0.2500 0.2792 0.1878
Pd: 0.2500 0.6462 0.1565
Pd: 0.7500 0.8924 0.4458
Pd: 0.2500 0.1462 0.3435
Pd: 0.7500 0.9554 0.1992
Pd: 0.2500 0.5316 0.4332
Al: 0.7500 0.7510 0.0495
Pd: 0.2500 0.0446 0.8008
Pd: 0.2500 0.5446 0.6992
Pd: 0.7500 0.3924 0.0542
Pd: 0.7500 0.4554 0.3008

Output
The crystal system is orthorhombic. The calculation puts the total magnetic moment at 0.000 Bohr magnetons per cell. The final energy is -4.579 eV per atom. Its formation energy from the elements is -0.44 eV per atom.


This record from Alexandria via LeMat-Bulk describes crystalline CsTiI2O at its relaxed geometry. The functional is GGA-PBE.

Cell lengths 6.7704, 6.7704, 4.3803 Å; angles 90.00, 90.00, 90.00 degrees
Last column: magnetic moment on the atom in μB.
Sites, in units of the cell vectors:
I: 0.0000 0.5000 0.0000  -0.06
Cs: 0.0000 0.0000 0.0000  -0.01
I: 0.5000 0.0000 0.0000  -0.06
O: 0.0000 0.0000 0.5000  -0.05
Ti: 0.5000 0.5000 0.5000  2.01

Output
The crystal system is tetragonal. The calculation puts the total magnetic moment at 2.201 Bohr magnetons per cell. The final energy is -2.886 eV per atom.


This record from Alexandria via LeMat-Bulk describes crystalline LiMgV at its relaxed geometry. The functional is GGA-PBE.

Cell lengths 7.0927, 2.8700, 5.4160 Å; angles 95.36, 92.45, 77.48 degrees
Sites, in units of the cell vectors:
Mg: 0.8115 0.4272 0.0775
Mg: 0.1885 0.5728 0.9225
Li: 0.5270 0.8223 0.7225
Li: 0.4730 0.1777 0.2775
V: 0.1159 0.0617 0.4394
V: 0.8841 0.9383 0.5606

Output
The crystal system is triclinic. The calculation puts the total magnetic moment at 0.000 Bohr magnetons per cell. The final energy is -3.953 eV per atom. Its formation energy from the elements is 0.26 eV per atom.


This record from Alexandria via LeMat-Bulk describes crystalline LaTb5Nd6 at its relaxed geometry. The functional is GGA-PBE.

Cell lengths 5.1493, 10.2795, 9.6162 Å; angles 122.24, 105.49, 90.05 degrees
Sites, in units of the cell vectors:
Tb: 0.3329 0.3328 0.6655
Nd: 0.8334 0.5818 0.6667
Nd: 0.5000 0.2529 0.0000
La: 0.0000 0.0000 0.0000
Nd: 0.5000 0.7471 0.0000
Nd: 0.8333 0.0849 0.6667
Tb: 0.3317 0.8318 0.6637
Nd: 0.1666 0.4182 0.3333
Tb: 0.6683 0.1682 0.3363
Tb: 0.6671 0.6672 0.3345
Tb: 0.0000 0.5000 0.0000
Nd: 0.1667 0.9151 0.3333

Output
The crystal system is orthorhombic. The calculation puts the total magnetic moment at 0.000 Bohr magnetons per cell. The final energy is -4.706 eV per atom. Its formation energy from the elements is 0.02 eV per atom.


This record from Alexandria via LeMat-Bulk describes crystalline TlGeOs2 at its relaxed geometry. The functional is GGA-PBE.

Cell lengths 4.5180, 4.5180, 4.5180 Å; angles 60.00, 60.00, 60.00 degrees
Sites, in units of the cell vectors:
Tl: 0.5000 0.5000 0.5000
Ge: 0.0000 0.0000 0.0000
Os: 0.2500 0.2500 0.2500
Os: 0.7500 0.7500 0.7500

Output
The crystal system is cubic. The calculation puts the total magnetic moment at 0.000 Bohr magnetons per cell. The final energy is -6.517 eV per atom. Its formation energy from the elements is 0.84 eV per atom.


What did the first record say?
This record from Alexandria via LeMat-Bulk describes crystalline TlGaHg3 at its relaxed geometry. The functional is GGA-PBE.

Cell lengths 5.7577, 5.7577, 5.7577 Å; angles 90.00, 90.00, 90.00 degrees
Sites, in units of the cell vectors:
Hg: 0.5000 0.0000 0.0000
Hg: 0.0000 0.0000 0.5000
Hg: 0.0000 0.5000 0.0000
Ga: 0.5000 0.5000 0.5000
Tl: 0.0000 0.0000 0.0000

Output
The crystal system is cubic. The calculation puts the total magnetic moment at 0.000 Bohr magnetons per cell. The final energy is -0.861 eV per atom. Its formation energy from the elements is 0.40 eV per atom.


- What is the total magnetic moment in the third record?
  2.201 Bohr magnetons per cell